No. 1
DFT (PBE-GGA) results for an optimized crystal structure of Nb5N6.

Computed properties:
Density = 7.26 g/cm³
Energy = -10.15 eV/atom
Formation energy (no corrections) = -11.33 eV per formula unit

a b c (Å): 5.258 5.258 10.482
angles (deg): 90.00 90.00 120.00
Element x y z (fractional)
Nb 0.333 0.667 0.500
Nb 0.667 0.333 0.000
Nb 0.667 0.333 0.500
Nb 0.333 0.667 0.000
Nb 0.675 0.000 0.750
Nb 0.675 0.675 0.250
Nb 0.000 0.325 0.250
Nb 0.000 0.675 0.750
Nb 0.325 0.325 0.750
Nb 0.325 0.000 0.250
N 0.339 0.339 0.377
N 0.661 0.000 0.377
N 0.000 0.661 0.377
N 0.000 0.339 0.877
N 0.661 0.000 0.123
N 0.661 0.661 0.877
N 0.339 0.000 0.877
N 0.661 0.661 0.623
N 0.000 0.339 0.623
N 0.000 0.661 0.123
N 0.339 0.000 0.623
N 0.339 0.339 0.123

***

No. 2
DFT (PBE-GGA) results for an optimized crystal structure of YB3O6.

Computed properties:
Density = 3.58 g/cm³
Offset from the most stable computed form = 0.000 eV per atom
Energy = -8.37 eV/atom
Formation energy (no corrections) = -27.46 eV per formula unit

a b c (Å): 6.504 6.504 6.139
angles (deg): 61.90 61.90 80.44
Element x y z (fractional)
Y 0.749 0.251 0.250
Y 0.251 0.749 0.750
B 0.251 0.749 0.250
B 0.185 0.314 0.381
B 0.314 0.185 0.881
B 0.686 0.815 0.119
B 0.815 0.686 0.619
B 0.749 0.251 0.750
O 0.053 0.751 0.501
O 0.449 0.747 0.305
O 0.339 0.158 0.437
O 0.158 0.339 0.937
O 0.253 0.551 0.195
O 0.249 0.947 0.999
O 0.751 0.053 0.001
O 0.747 0.449 0.805
O 0.842 0.661 0.063
O 0.661 0.842 0.563
O 0.551 0.253 0.695
O 0.947 0.249 0.499

***

No. 3
DFT (PBE-GGA) results for an optimized crystal structure of Th5Sn4.

Computed properties:
Density = 10.12 g/cm³
DFT formation energy = -0.589 eV/atom
Energy = -6.49 eV/atom

a b c (Å): 9.691 9.691 6.600
angles (deg): 90.00 90.00 120.00
Element x y z (fractional)
Th 0.000 0.721 0.750
Th 0.279 0.279 0.750
Th 0.333 0.667 0.500
Th 0.667 0.333 0.500
Th 0.721 0.721 0.250
Th 0.721 0.000 0.750
Th 0.000 0.279 0.250
Th 0.279 0.000 0.250
Th 0.333 0.667 0.000
Th 0.667 0.333 0.000
Sn 0.619 0.619 0.750
Sn 0.000 0.381 0.750
Sn 0.381 0.000 0.750
Sn 0.619 0.000 0.250
Sn 0.381 0.381 0.250
Sn 0.000 0.000 0.000
Sn 0.000 0.619 0.250
Sn 0.000 0.000 0.500

***

No. 4
DFT (PBE-GGA) results for an optimized crystal structure of Sm6Er4Tm.

Computed properties:
Density = 8.10 g/cm³
Offset from the most stable computed form = 0.000 eV per atom
DFT formation energy = 0.120 eV/atom
Energy = -4.52 eV/atom

a b c (Å): 5.773 5.617 25.640
angles (deg): 90.00 90.00 120.93
Element x y z (fractional)
Sm 0.500 0.000 0.000
Sm 0.500 0.000 0.500
Sm 0.129 0.257 0.318
Sm 0.871 0.743 0.682
Sm 0.871 0.743 0.818
Sm 0.129 0.257 0.182
Sm 0.803 0.605 0.397
Sm 0.197 0.395 0.603
Sm 0.197 0.395 0.897
Sm 0.803 0.605 0.103
Sm 0.457 0.915 0.250
Sm 0.543 0.085 0.750
Er 0.848 0.696 0.544
Er 0.462 0.923 0.123
Er 0.152 0.304 0.456
Er 0.538 0.077 0.877
Er 0.848 0.696 0.956
Er 0.152 0.304 0.044
Er 0.538 0.077 0.623
Er 0.462 0.923 0.377
Tm 0.794 0.588 0.250
Tm 0.206 0.412 0.750